(1)
K4Tl2Hg3 | PBE-GGA | relaxed

Results
For the formation energy, the calculation gives -3.629 kcal/mol of atoms. The value obtained for the density of states at the Fermi level is 9.7 states/eV per cell. As for the total magnetic moment: 0.000 μB per atom. The volume comes out at 718.4 Å³ per cell.

Unit cell a=18.796 b=4.604 c=8.727 alpha=90.00 beta=107.97 gamma=90.00
Space group C2/m (No. 12)
Symmetry-distinct sites (fractional):
K: 0.069 0.000 0.366 [4 per cell]
K: 0.245 0.500 0.219 [4 per cell]
Tl: 0.103 0.000 0.971 [4 per cell]
Hg: 0.000 0.500 0.000 [2 per cell]
Hg: 0.096 0.500 0.702 [4 per cell]

=====

(2)
KTl4Hg2 | PBE-GGA | relaxed

Results
For the formation energy, the calculation gives -2.425 kcal/mol of atoms. The value obtained for the density of states at the Fermi level is 6.4 states/eV per cell. As for the total magnetic moment: 0.000 μB per atom. The volume comes out at 463.8 Å³ per cell.

Unit cell a=5.127 b=18.043 c=5.013 alpha=90.00 beta=90.00 gamma=90.00
Space group Cmmm (No. 65)
Symmetry-distinct sites (fractional):
K: 0.000 0.000 0.000 [2 per cell]
Tl: 0.000 0.183 0.500 [4 per cell]
Tl: 0.000 0.312 0.000 [4 per cell]
Hg: 0.000 0.419 0.500 [4 per cell]

=====

(3)
KTlHg2 | PBE-GGA | relaxed

Results
For the formation energy, the calculation gives -1.951 kcal/mol of atoms. The distance to the lowest polymorph of the same formula comes out at 0.080 eV/atom. The value obtained for the density of states at the Fermi level is 2.3 states/eV per cell. As for the total magnetic moment: 0.000 μB per atom. The volume comes out at 128.0 Å³ per cell.

Unit cell a=5.934 b=3.521 c=6.770 alpha=90.00 beta=115.17 gamma=90.00
Space group P2/m (No. 10)
Symmetry-distinct sites (fractional):
K: 0.000 0.000 0.000 [1 per cell]
Tl: 0.000 0.500 0.500 [1 per cell]
Hg: 0.500 0.000 0.500 [1 per cell]
Hg: 0.500 0.500 0.000 [1 per cell]

=====

(4)
K2Tl2Hg | PBE-GGA | relaxed

Results
For the formation energy, the calculation gives 3.733 kcal/mol of atoms. The distance to the lowest polymorph of the same formula comes out at 0.313 eV/atom. The value obtained for the density of states at the Fermi level is 4.4 states/eV per cell. As for the total magnetic moment: 0.000 μB per atom. The volume comes out at 402.2 Å³ per cell.

Unit cell a=4.966 b=4.966 c=16.311 alpha=90.00 beta=90.00 gamma=90.00
Space group I4/mmm (No. 139)
Symmetry-distinct sites (fractional):
K: 0.000 0.500 0.250 [4 per cell]
Tl: 0.000 0.000 0.090 [4 per cell]
Hg: 0.000 0.000 0.500 [2 per cell]

=====

(5)
K4Tl3Hg5 | PBE-GGA | relaxed

Results
For the formation energy, the calculation gives -4.223 kcal/mol of atoms. The value obtained for the density of states at the Fermi level is 6.4 states/eV per cell. As for the total magnetic moment: 0.000 μB per atom. The volume comes out at 414.2 Å³ per cell.

Unit cell a=6.591 b=6.804 c=9.901 alpha=108.82 beta=99.13 gamma=90.35
Space group P-1 (No. 2)
Symmetry-distinct sites (fractional):
K: 0.177 0.303 0.114 [2 per cell]
K: 0.226 0.935 0.382 [2 per cell]
Tl: 0.000 0.500 0.500 [1 per cell]
Tl: 0.296 0.373 0.745 [2 per cell]
Hg: 0.276 0.902 0.757 [2 per cell]
Hg: 0.360 0.766 0.033 [2 per cell]
Hg: 0.500 0.500 0.500 [1 per cell]

=====

(6)
K4Tl4Hg | PBE-GGA | relaxed

Results
For the formation energy, the calculation gives -1.602 kcal/mol of atoms. The value obtained for the density of states at the Fermi level is 8.4 states/eV per cell. As for the total magnetic moment: 0.000 μB per atom. The volume comes out at 763.7 Å³ per cell.

Unit cell a=5.801 b=5.801 c=22.699 alpha=90.00 beta=90.00 gamma=90.00
Space group I-42m (No. 121)
Symmetry-distinct sites (fractional):
K: 0.228 0.228 0.387 [8 per cell]
Tl: 0.217 0.217 0.213 [8 per cell]
Hg: 0.000 0.000 0.000 [2 per cell]

=====

(7)
K4TlHg4 | PBE-GGA | relaxed

Results
For the formation energy, the calculation gives -3.755 kcal/mol of atoms. The value obtained for the density of states at the Fermi level is 7.7 states/eV per cell. As for the total magnetic moment: 0.000 μB per atom. The volume comes out at 679.8 Å³ per cell.

Unit cell a=10.157 b=10.157 c=6.589 alpha=90.00 beta=90.00 gamma=90.00
Space group P4_2/n (No. 86, origin choice 2)
Symmetry-distinct sites (fractional):
K: 0.069 0.837 0.119 [8 per cell]
Tl: 0.250 0.250 0.750 [2 per cell]
Hg: 0.075 0.159 0.380 [8 per cell]

=====

(8)
K3TlHg6 | PBE-GGA | relaxed

Results
For the formation energy, the calculation gives -5.229 kcal/mol of atoms. The value obtained for the density of states at the Fermi level is 20.7 states/eV per cell. As for the total magnetic moment: 0.000 μB per atom. The volume comes out at 2032.6 Å³ per cell.

Unit cell a=13.3731 b=13.3731 c=13.1236 alpha=90.00 beta=90.00 gamma=120.00
Space group R-3c (No. 167, hexagonal axes)
Symmetry-distinct sites (fractional):
K: 0.0000 0.4975 0.2500 [18 per cell]
Tl: 0.0000 0.0000 0.0000 [6 per cell]
Hg: 0.0988 0.1989 0.3293 [36 per cell]

=====

(9)
KTlHg2 | PBE-GGA | relaxed

Results
For the formation energy, the calculation gives -3.795 kcal/mol of atoms. The distance to the lowest polymorph of the same formula comes out at 0.000 eV/atom. The value obtained for the density of states at the Fermi level is 9.0 states/eV per cell. As for the total magnetic moment: 0.000 μB per atom. The volume comes out at 494.3 Å³ per cell.

Unit cell a=7.907 b=7.907 c=7.907 alpha=90.00 beta=90.00 gamma=90.00
Space group Fm-3m (No. 225)
Symmetry-distinct sites (fractional):
K: 0.000 0.000 0.000 [4 per cell]
Tl: 0.000 0.000 0.500 [4 per cell]
Hg: 0.250 0.250 0.250 [8 per cell]

=====

(10)
KTl2Hg | PBE-GGA | relaxed

Results
For the formation energy, the calculation gives -2.753 kcal/mol of atoms. The distance to the lowest polymorph of the same formula comes out at 0.000 eV/atom. The value obtained for the density of states at the Fermi level is 1.4 states/eV per cell. As for the total magnetic moment: 0.000 μB per atom. The volume comes out at 129.7 Å³ per cell.

Unit cell a=3.583 b=5.127 c=7.272 alpha=90.00 beta=103.82 gamma=90.00
Space group Pm (No. 6)
Symmetry-distinct sites (fractional):
K: 0.000 0.000 0.000 [1 per cell]
Tl: 0.244 0.000 0.513 [1 per cell]
Tl: 0.650 0.500 0.308 [1 per cell]
Hg: 0.389 0.500 0.768 [1 per cell]

=====

(11)
K2Tl6Hg | PBE-GGA | relaxed

Results
For the formation energy, the calculation gives -2.131 kcal/mol of atoms. The distance to the lowest polymorph of the same formula comes out at 0.000 eV/atom. The value obtained for the density of states at the Fermi level is 6.9 states/eV per cell. As for the total magnetic moment: 0.000 μB per atom. The volume comes out at 610.0 Å³ per cell.

Unit cell a=11.540 b=7.592 c=7.022 alpha=90.00 beta=97.45 gamma=90.00
Space group C2/m (No. 12)
Symmetry-distinct sites (fractional):
K: 0.174 0.000 0.358 [4 per cell]
Tl: 0.097 0.220 0.831 [8 per cell]
Tl: 0.151 0.500 0.166 [4 per cell]
Hg: 0.000 0.500 0.500 [2 per cell]

=====

(12)
KTl3Hg | PBE-GGA | relaxed

Results
For the formation energy, the calculation gives 13.656 kcal/mol of atoms. The distance to the lowest polymorph of the same formula comes out at 0.689 eV/atom. The value obtained for the density of states at the Fermi level is 7.6 states/eV per cell. As for the total magnetic moment: 0.000 μB per atom. The volume comes out at 256.0 Å³ per cell.

Unit cell a=6.350 b=6.350 c=6.350 alpha=90.00 beta=90.00 gamma=90.00
Space group Pm-3m (No. 221)
Symmetry-distinct sites (fractional):
K: 0.000 0.000 0.000 [1 per cell]
Tl: 0.000 0.000 0.500 [3 per cell]
Hg: 0.500 0.500 0.500 [1 per cell]

=====

> Which value of total magnetic moment does entry 12 give?

0.000 μB per atom

=====

> Which formula does entry 7 have?

K4TlHg4

=====

> Look up the total magnetic moment of the third one.

0.000 μB per atom